Here is an optimized crystal structure of AcAsH2Ir from the Alexandria database. Energies are from GGA-PBE.

Geometry as POSCAR:
```
AcAsH2Ir
1.0
-1.039 3.601 -2.172
-2.331 -0.046 5.360
5.194 2.875 2.283
As Ac Ir H
2 2 2 4
direct
0.428 0.857 0.750
0.572 0.143 0.250
0.705 0.409 0.750
0.295 0.591 0.250
0.000 0.000 0.000
0.000 0.000 0.500
0.152 0.303 0.562
0.848 0.697 0.438
0.848 0.697 0.062
0.152 0.303 0.938
```

Summary:
Energy   -5.42 eV/atom
Space-group type   Cmcm